Computed, not measured: a relaxed Ac5HgTe8 crystal at the PBE-GGA level of DFT.

a = 8.666 Å, b = 8.666 Å, c = 8.666 Å
α = 109.77°, β = 108.87°, γ = 109.77°
Sites, in units of the cell vectors:
Ac 0.013 0.380 0.135
Ac 0.865 0.878 0.245
Ac 0.755 0.620 0.632
Ac 0.500 0.000 0.500
Ac 0.368 0.122 0.987
Hg 0.250 0.500 0.750
Te 0.137 0.758 0.033
Te 0.967 0.104 0.725
Te 0.758 0.240 0.356
Te 0.644 0.401 0.883
Te 0.482 0.599 0.242
Te 0.621 0.896 0.863
Te 0.275 0.242 0.379
Te 0.117 0.760 0.518

Output
Magnetization in μB/f.u.: 0.00
Formation energy (no corrections) in eV per atom: -1.42
Space-group type: I-4 (82)

=====

Computed, not measured: a relaxed Ac4HgTe5 crystal at the PBE-GGA level of DFT.

a = 8.257 Å, b = 10.431 Å, c = 10.417 Å
α = 90.00°, β = 90.00°, γ = 90.00°
Sites, in units of the cell vectors:
Ac 0.059 0.000 0.760
Ac 0.521 0.765 0.000
Ac 0.521 0.235 0.000
Ac 0.059 0.000 0.240
Ac 0.941 0.500 0.260
Ac 0.479 0.735 0.500
Ac 0.479 0.265 0.500
Ac 0.941 0.500 0.740
Hg 0.792 0.000 0.000
Hg 0.208 0.500 0.500
Te 0.246 0.712 0.776
Te 0.246 0.288 0.776
Te 0.722 0.500 0.000
Te 0.246 0.712 0.224
Te 0.246 0.288 0.224
Te 0.754 0.788 0.276
Te 0.754 0.212 0.276
Te 0.278 0.000 0.500
Te 0.754 0.212 0.724
Te 0.754 0.788 0.724

Output
Magnetization in μB/f.u.: 0.00
Formation energy (no corrections) in eV per atom: -1.18
Space-group type: Pmmn (59)

=====

Computed, not measured: a relaxed Ac4HgTe6 crystal at the PBE-GGA level of DFT.

a = 4.679 Å, b = 10.161 Å, c = 10.161 Å
α = 120.00°, β = 90.00°, γ = 90.00°
Sites, in units of the cell vectors:
Ac 0.500 0.813 0.627
Ac 0.500 0.373 0.187
Ac 0.500 0.813 0.187
Ac 0.000 0.333 0.667
Hg 0.000 0.000 0.000
Te 0.000 0.535 0.071
Te 0.500 0.632 0.816
Te 0.000 0.535 0.465
Te 0.000 0.929 0.465
Te 0.500 0.184 0.816
Te 0.500 0.184 0.368

Output
Magnetization in μB/f.u.: 0.00
Formation energy (no corrections) in eV per atom: -1.29
Space-group type: P-6m2 (187)

=====

Computed, not measured: a relaxed AcHgTe2 crystal at the PBE-GGA level of DFT.

a = 4.410 Å, b = 4.410 Å, c = 6.722 Å
α = 90.00°, β = 90.00°, γ = 90.00°
Sites, in units of the cell vectors:
Ac 0.500 0.500 0.000
Te 0.000 0.000 0.759
Te 0.000 0.000 0.241
Hg 0.500 0.500 0.500

Output
Energy relative to the lowest polymorph listed for this composition in kJ per mole of atoms: 0.0
Magnetization in μB/f.u.: 0.00
Formation energy (no corrections) in eV per atom: -0.90
Space-group type: P4/mmm (123)

=====

Computed, not measured: a relaxed Ac5HgTe4 crystal at the PBE-GGA level of DFT.

a = 6.701 Å, b = 8.227 Å, c = 8.221 Å
α = 80.45°, β = 66.01°, γ = 65.95°
Sites, in units of the cell vectors:
Ac 0.902 0.391 0.807
Ac 0.293 0.807 0.609
Ac 0.709 0.193 0.391
Ac 0.100 0.609 0.193
Ac 0.501 0.000 0.000
Hg 0.002 0.000 0.000
Te 0.405 0.399 0.792
Te 0.805 0.792 0.601
Te 0.197 0.208 0.399
Te 0.597 0.601 0.208

Output
Magnetization in μB/f.u.: 0.00
Formation energy (no corrections) in eV per atom: -1.30
Space-group type: P1 (1)

=====

Computed, not measured: a relaxed Ac2HgTe crystal at the PBE-GGA level of DFT.

a = 4.411 Å, b = 4.411 Å, c = 9.295 Å
α = 76.27°, β = 76.27°, γ = 60.00°
Sites, in units of the cell vectors:
Ac 0.083 0.083 0.752
Ac 0.251 0.251 0.248
Hg 0.499 0.499 0.502
Te 0.667 0.667 0.998

Output
Energy relative to the lowest polymorph listed for this composition in kJ per mole of atoms: 5.6
Magnetization in μB/f.u.: 0.00
Formation energy (no corrections) in eV per atom: -0.88
Space-group type: R3m (160)

=====

Computed, not measured: a relaxed Ac3HgTe3 crystal at the PBE-GGA level of DFT.

a = 4.599 Å, b = 13.730 Å, c = 16.248 Å
α = 90.00°, β = 90.00°, γ = 90.00°
Sites, in units of the cell vectors:
Ac 0.750 0.934 0.908
Ac 0.250 0.566 0.408
Ac 0.250 0.066 0.092
Ac 0.750 0.434 0.592
Ac 0.750 0.880 0.418
Ac 0.250 0.620 0.918
Ac 0.250 0.120 0.582
Ac 0.750 0.380 0.082
Ac 0.750 0.728 0.159
Ac 0.250 0.772 0.659
Ac 0.250 0.272 0.841
Ac 0.750 0.228 0.341
Hg 0.750 0.983 0.223
Hg 0.250 0.517 0.723
Hg 0.250 0.017 0.777
Hg 0.750 0.483 0.277
Te 0.750 0.729 0.802
Te 0.250 0.771 0.302
Te 0.250 0.271 0.198
Te 0.750 0.229 0.698
Te 0.750 0.171 0.969
Te 0.250 0.329 0.469
Te 0.250 0.829 0.031
Te 0.750 0.671 0.531
Te 0.750 0.947 0.618
Te 0.250 0.553 0.118
Te 0.250 0.053 0.382
Te 0.750 0.447 0.882

Output
Magnetization in μB/f.u.: 0.00
Formation energy (no corrections) in eV per atom: -1.20
Space-group type: Pnma (62)

=====

Computed, not measured: a relaxed Ac2HgTe crystal at the PBE-GGA level of DFT.

a = 3.942 Å, b = 5.833 Å, c = 5.833 Å
α = 90.00°, β = 90.00°, γ = 90.00°
Sites, in units of the cell vectors:
Ac 0.000 0.000 0.500
Ac 0.000 0.500 0.000
Te 0.500 0.000 0.000
Hg 0.500 0.500 0.500

Output
Energy relative to the lowest polymorph listed for this composition in kJ per mole of atoms: 7.4
Magnetization in μB/f.u.: 0.00
Formation energy (no corrections) in eV per atom: -0.86
Space-group type: P4/mmm (123)

=====

Computed, not measured: a relaxed AcHgTe2 crystal at the PBE-GGA level of DFT.

a = 4.920 Å, b = 4.920 Å, c = 28.227 Å
α = 90.00°, β = 90.00°, γ = 60.00°
Sites, in units of the cell vectors:
Ac 0.329 0.000 0.167
Ac 0.671 0.329 0.833
Ac 0.000 0.671 0.500
Hg 0.000 0.664 0.000
Hg 0.664 0.336 0.333
Hg 0.336 0.000 0.667
Te 0.004 0.663 0.896
Te 0.333 0.004 0.562
Te 0.663 0.333 0.229
Te 0.667 0.337 0.438
Te 0.996 0.667 0.104
Te 0.337 0.996 0.771

Output
Energy relative to the lowest polymorph listed for this composition in kJ per mole of atoms: 7.6
Magnetization in μB/f.u.: 0.00
Formation energy (no corrections) in eV per atom: -0.82
Space-group type: P3_221 (154)

=====

Computed, not measured: a relaxed Ac3HgTe2 crystal at the PBE-GGA level of DFT.

a = 6.705 Å, b = 9.530 Å, c = 14.188 Å
α = 90.00°, β = 90.00°, γ = 90.01°
Sites, in units of the cell vectors:
Ac 0.250 0.617 0.578
Ac 0.250 0.117 0.922
Ac 0.250 0.631 0.917
Ac 0.250 0.131 0.583
Ac 0.250 0.629 0.250
Ac 0.250 0.129 0.250
Ac 0.750 0.871 0.750
Ac 0.750 0.371 0.750
Ac 0.750 0.869 0.417
Ac 0.750 0.369 0.083
Ac 0.750 0.883 0.078
Ac 0.750 0.383 0.422
Hg 0.250 0.874 0.089
Hg 0.250 0.374 0.411
Hg 0.750 0.626 0.589
Hg 0.750 0.126 0.911
Te 0.250 0.874 0.745
Te 0.250 0.374 0.755
Te 0.250 0.880 0.418
Te 0.250 0.380 0.082
Te 0.750 0.620 0.918
Te 0.750 0.120 0.582
Te 0.750 0.626 0.245
Te 0.750 0.126 0.255

Output
Magnetization in μB/f.u.: 0.00
Formation energy (no corrections) in eV per atom: -1.14
Space-group type: Pnma (62)

=====

Computed, not measured: a relaxed Ac6HgTe5 crystal at the PBE-GGA level of DFT.

a = 8.202 Å, b = 8.264 Å, c = 8.231 Å
α = 59.87°, β = 80.38°, γ = 70.56°
Sites, in units of the cell vectors:
Ac 0.758 0.080 0.323
Ac 0.242 0.597 0.323
Ac 0.247 0.240 0.000
Ac 0.753 0.760 0.000
Ac 0.758 0.403 0.677
Ac 0.242 0.920 0.677
Te 0.500 0.173 0.654
Te 0.000 0.335 0.330
Te 0.500 0.500 0.000
Te 0.000 0.665 0.670
Te 0.500 0.827 0.346
Hg 0.000 0.000 0.000

Output
Magnetization in μB/f.u.: 0.00
Formation energy (no corrections) in eV per atom: -1.33
Space-group type: C2/m (12)

=====

Computed, not measured: a relaxed AcHgTe4 crystal at the PBE-GGA level of DFT.

a = 6.508 Å, b = 6.508 Å, c = 6.508 Å
α = 60.00°, β = 60.00°, γ = 60.00°
Sites, in units of the cell vectors:
Ac 0.250 0.250 0.250
Te 0.625 0.625 0.125
Te 0.625 0.125 0.625
Te 0.625 0.625 0.625
Te 0.125 0.625 0.625
Hg 0.000 0.000 0.000

Output
Magnetization in μB/f.u.: 0.00
Formation energy (no corrections) in eV per atom: -0.28
Space-group type: F-43m (216)

=====

Computed, not measured: a relaxed Ac6Hg5Te crystal at the PBE-GGA level of DFT.

a = 5.734 Å, b = 8.069 Å, c = 9.967 Å
α = 113.89°, β = 106.71°, γ = 90.00°
Sites, in units of the cell vectors:
Ac 0.834 0.586 0.668
Ac 0.834 0.083 0.668
Ac 0.500 0.752 0.000
Ac 0.500 0.248 0.000
Ac 0.166 0.917 0.332
Ac 0.166 0.414 0.332
Te 0.000 0.000 0.000
Hg 0.675 0.175 0.350
Hg 0.334 0.335 0.669
Hg 0.000 0.500 0.000
Hg 0.666 0.665 0.331
Hg 0.325 0.825 0.650

Output
Magnetization in μB/f.u.: 0.00
Formation energy (no corrections) in eV per atom: -0.58
Space-group type: Immm (71)

=====

Computed, not measured: a relaxed Ac2HgTe crystal at the PBE-GGA level of DFT.

a = 5.765 Å, b = 5.765 Å, c = 5.765 Å
α = 60.00°, β = 60.00°, γ = 60.00°
Sites, in units of the cell vectors:
Ac 0.250 0.250 0.250
Ac 0.750 0.750 0.750
Te 0.000 0.000 0.000
Hg 0.500 0.500 0.500

Output
Energy relative to the lowest polymorph listed for this composition in kJ per mole of atoms: 17.2
Magnetization in μB/f.u.: 0.00
Formation energy (no corrections) in eV per atom: -0.76
Space-group type: Fm-3m (225)

=====

Computed, not measured: a relaxed Ac2HgTe crystal at the PBE-GGA level of DFT.

a = 4.590 Å, b = 4.590 Å, c = 8.716 Å
α = 74.73°, β = 74.73°, γ = 60.00°
Sites, in units of the cell vectors:
Ac 0.751 0.751 0.747
Ac 0.249 0.249 0.253
Te 0.000 0.000 0.000
Hg 0.500 0.500 0.500

Output
Energy relative to the lowest polymorph listed for this composition in kJ per mole of atoms: 0.0
Magnetization in μB/f.u.: 0.00
Formation energy (no corrections) in eV per atom: -0.93
Space-group type: R-3m (166)

=====

Computed, not measured: a relaxed AcHgTe2 crystal at the PBE-GGA level of DFT.

a = 4.791 Å, b = 4.791 Å, c = 8.255 Å
α = 73.13°, β = 73.13°, γ = 60.00°
Sites, in units of the cell vectors:
Ac 0.666 0.666 0.002
Hg 0.500 0.500 0.500
Te 0.080 0.080 0.761
Te 0.255 0.255 0.236

Output
Energy relative to the lowest polymorph listed for this composition in kJ per mole of atoms: 7.4
Magnetization in μB/f.u.: 0.00
Formation energy (no corrections) in eV per atom: -0.82
Space-group type: R3m (160)

=====

Computed, not measured: a relaxed AcHgTe2 crystal at the PBE-GGA level of DFT.

a = 5.670 Å, b = 5.670 Å, c = 5.680 Å
α = 60.05°, β = 60.05°, γ = 60.00°
Sites, in units of the cell vectors:
Ac 0.500 0.500 0.500
Te 0.750 0.750 0.751
Te 0.250 0.250 0.249
Hg 0.000 0.000 0.000

Output
Energy relative to the lowest polymorph listed for this composition in kJ per mole of atoms: 6.0
Magnetization in μB/f.u.: 0.00
Formation energy (no corrections) in eV per atom: -0.84
Space-group type: R-3m (166)

=====

Computed, not measured: a relaxed AcTlHgTe crystal at the PBE-GGA level of DFT.

a = 5.623 Å, b = 5.623 Å, c = 5.623 Å
α = 60.00°, β = 60.00°, γ = 60.00°
Sites, in units of the cell vectors:
Ac 0.250 0.250 0.250
Te 0.500 0.500 0.500
Tl 0.750 0.750 0.750
Hg 0.000 0.000 0.000

Output
Magnetization in μB/f.u.: 0.00
Formation energy (no corrections) in eV per atom: -0.61
Space-group type: F-43m (216)

=====

Computed, not measured: a relaxed Ac2YHgTe5 crystal at the PBE-GGA level of DFT.

a = 4.548 Å, b = 10.044 Å, c = 13.769 Å
α = 90.00°, β = 90.00°, γ = 103.08°
Sites, in units of the cell vectors:
Ac 0.875 0.750 0.806
Ac 0.122 0.243 0.685
Ac 0.125 0.250 0.306
Ac 0.878 0.757 0.185
Y 0.811 0.621 0.504
Y 0.189 0.379 0.004
Hg 0.565 0.131 0.965
Hg 0.435 0.869 0.465
Te 0.351 0.702 0.999
Te 0.702 0.404 0.841
Te 0.504 0.008 0.778
Te 0.294 0.588 0.660
Te 0.960 0.921 0.587
Te 0.649 0.298 0.499
Te 0.298 0.596 0.341
Te 0.496 0.992 0.278
Te 0.706 0.412 0.160
Te 0.040 0.079 0.087

Output
Magnetization in μB/f.u.: 0.00
Formation energy (no corrections) in eV per atom: -1.23
Space-group type: Cmc2_1 (36)

=====

Computed, not measured: a relaxed AcTh2Hg crystal at the PBE-GGA level of DFT.

a = 3.550 Å, b = 3.550 Å, c = 12.519 Å
α = 81.85°, β = 81.85°, γ = 60.00°
Sites, in units of the cell vectors:
Ac 0.000 0.000 0.000
Hg 0.500 0.500 0.500
Th 0.096 0.096 0.712
Th 0.904 0.904 0.288

Output
Energy relative to the lowest polymorph listed for this composition in kJ per mole of atoms: 20.5
Magnetization in μB/f.u.: 0.00
ΔE_f in eV per formula unit: 0.82
Space-group type: R-3m (166)

=====

Computed, not measured: a relaxed Ac5ThHg4 crystal at the PBE-GGA level of DFT.

a = 3.967 Å, b = 3.967 Å, c = 21.623 Å
α = 90.00°, β = 90.00°, γ = 90.00°
Each line ends with the local moment (μB).
Sites, in units of the cell vectors:
Ac 0.500 0.500 0.115  0.00
Ac 0.500 0.500 0.309  0.06
Ac 0.500 0.500 0.500  0.06
Ac 0.500 0.500 0.691  0.06
Ac 0.500 0.500 0.885  0.00
Th 0.000 0.000 0.000  0.01
Hg 0.000 0.000 0.211  0.00
Hg 0.000 0.000 0.405  0.01
Hg 0.000 0.000 0.595  0.01
Hg 0.000 0.000 0.789  0.00

Output
Magnetization in μB/f.u.: 0.56
ΔE_f in eV per formula unit: -3.33
Space-group type: P4/mmm (123)

=====

Computed, not measured: a relaxed AcThHg3 crystal at the PBE-GGA level of DFT.

a = 3.783 Å, b = 5.034 Å, c = 15.310 Å
α = 90.00°, β = 97.10°, γ = 90.00°
Sites, in units of the cell vectors:
Ac 0.925 0.750 0.850
Ac 0.075 0.250 0.150
Th 0.213 0.750 0.426
Th 0.787 0.250 0.574
Hg 0.623 0.750 0.246
Hg 0.377 0.250 0.754
Hg 0.524 0.750 0.049
Hg 0.476 0.250 0.951
Hg 0.679 0.250 0.358
Hg 0.321 0.750 0.642

Output
Magnetization in μB/f.u.: 0.00
ΔE_f in eV per formula unit: -1.73
Space-group type: Cmcm (63)